# 1
AsAu2Br: optimized geometry, PBE.

The structure belongs to space group Cmmm (No. 65); the cell edges are 3.6168, 6.4649 and 8.0065 Å and the angles 90.00°, 90.00° and 90.00°. The asymmetric unit holds As at (0.0000, 0.0000, 0.0000), Au at (0.0000, 0.5000, 0.2319) and Br at (0.0000, 0.0000, 0.5000).

For the raw formation energy, the calculation gives 0.248 eV/atom. As for the energy above the most stable polymorph in this dataset: 20.5 kJ/mol of atoms. The value obtained for the volume is 187.21 Å³ per cell.

# 2
As2AuBr: optimized geometry, PBE.

The structure belongs to space group I-42d (No. 122); the cell edges are 6.9579, 6.9579 and 8.8137 Å and the angles 90.00°, 90.00° and 90.00°. The asymmetric unit holds As at (0.2029, 0.7500, 0.1250), Au at (0.0000, 0.0000, 0.0000) and Br at (0.0000, 0.0000, 0.5000).

For the raw formation energy, the calculation gives 0.385 eV/atom. As for the energy above the most stable polymorph in this dataset: 40.3 kJ/mol of atoms. The value obtained for the volume is 426.69 Å³ per cell.

# 3
AsAu2Br: optimized geometry, PBE.

The structure belongs to space group P4/mmm (No. 123); the cell edges are 3.9978, 3.9978 and 5.2875 Å and the angles 90.00°, 90.00° and 90.00°. The asymmetric unit holds As at (0.0000, 0.0000, 0.0000), Au at (0.0000, 0.5000, 0.5000) and Br at (0.5000, 0.5000, 0.0000).

For the raw formation energy, the calculation gives 0.479 eV/atom. As for the energy above the most stable polymorph in this dataset: 42.8 kJ/mol of atoms. The value obtained for the volume is 84.51 Å³ per cell.

# 4
AsAuBr: optimized geometry, PBE.

The structure belongs to space group P-1 (No. 2); the cell edges are 3.6901, 6.8587 and 8.2447 Å and the angles 66.70°, 89.79° and 74.47°. The asymmetric unit holds As at (0.0298, 0.4377, 0.1624), Au at (0.3328, 0.8394, 0.7892) and Br at (0.3195, 0.8532, 0.2852).

For the raw formation energy, the calculation gives -0.128 eV/atom. As for the energy above the most stable polymorph in this dataset: 0.0 kJ/mol of atoms. The value obtained for the volume is 183.42 Å³ per cell.

# 5
AsAuBr: optimized geometry, PBE.

The structure belongs to space group F-43m (No. 216); the cell edges are 6.6928, 6.6928 and 6.6928 Å and the angles 90.00°, 90.00° and 90.00°. The asymmetric unit holds As at (0.0000, 0.0000, 0.0000), Au at (0.2500, 0.2500, 0.2500) and Br at (0.2500, 0.2500, 0.7500).

For the raw formation energy, the calculation gives 0.513 eV/atom. As for the energy above the most stable polymorph in this dataset: 61.8 kJ/mol of atoms. The value obtained for the volume is 299.79 Å³ per cell.

# 6
AsAu2Br: optimized geometry, PBE.

The structure belongs to space group C2/m (No. 12); the cell edges are 5.7347, 7.8210 and 4.8235 Å and the angles 90.00°, 125.90° and 90.00°. The asymmetric unit holds As at (0.0000, 0.0000, 0.0000), Au at (0.2500, 0.2500, 0.5000) and Br at (0.0000, 0.5000, 0.0000).

For the raw formation energy, the calculation gives 0.311 eV/atom. As for the energy above the most stable polymorph in this dataset: 26.6 kJ/mol of atoms. The value obtained for the volume is 175.24 Å³ per cell.

Question: The highest raw formation energy belongs to which entry?
Answer: number 5